(1)
# KRb2Sn2 PBE-GGA relaxed
# SG: C2/c
# energy relative to the elements: -0.7 eV/f.u.
# DOS at the Fermi energy: 0.526 states/eV/atom
# magnetization: 0.000 μB/f.u.
# crystal system: monoclinic
# relative energy among the computed polymorphs: 0 meV per atom
data_KRb2Sn2
_chemical_formula_sum 'K2 Rb4 Sn4'
_symmetry_space_group_name_H-M 'P 1'
_symmetry_Int_Tables_number 1
_cell_length_a 7.5219
_cell_length_b 7.5219
_cell_length_c 10.8272
_cell_angle_alpha 102.76
_cell_angle_beta 102.76
_cell_angle_gamma 53.65
loop_
_symmetry_equiv_pos_as_xyz
'x,y,z'
loop_
_atom_site_label
_atom_site_fract_x
_atom_site_fract_y
_atom_site_fract_z
K1 0.1826 0.8174 0.7500
K2 0.8174 0.1826 0.2500
Rb1 0.1421 0.5566 0.3632
Rb2 0.4434 0.8579 0.1368
Rb3 0.5566 0.1421 0.8632
Rb4 0.8579 0.4434 0.6368
Sn1 0.0627 0.6418 0.0204
Sn2 0.3582 0.9373 0.4796
Sn3 0.6418 0.0627 0.5204
Sn4 0.9373 0.3582 0.9796

---

(2)
# InAu2Se PBE-GGA relaxed
# SG: Cmm2
# DOS at the Fermi energy: 0.207 states/eV/atom
# magnetization: 0.000 μB/f.u.
# crystal system: orthorhombic
# formation energy without anion corrections: 0.6 eV per formula unit
# relative energy among the computed polymorphs: 253 meV per atom
data_InAu2Se
_chemical_formula_sum 'In1 Au2 Se1'
_symmetry_space_group_name_H-M 'P 1'
_symmetry_Int_Tables_number 1
_cell_length_a 2.9451
_cell_length_b 2.9451
_cell_length_c 9.8678
_cell_angle_alpha 90.00
_cell_angle_beta 90.00
_cell_angle_gamma 91.14
loop_
_symmetry_equiv_pos_as_xyz
'x,y,z'
loop_
_atom_site_label
_atom_site_fract_x
_atom_site_fract_y
_atom_site_fract_z
In1 0.0000 0.0000 0.0000
Au1 0.0000 0.0000 0.4561
Au2 0.5000 0.5000 0.2419
Se1 0.5000 0.5000 0.6867

---

(3)
# Sr3SnTe4 PBE-GGA relaxed
# SG: Pmn2_1
# DOS at the Fermi energy: 0.000 states/eV/atom
# magnetization: 0.000 μB/f.u.
# crystal system: orthorhombic
# formation energy without anion corrections: -10.0 eV per formula unit
# relative energy among the computed polymorphs: 116 meV per atom
data_Sr3SnTe4
_chemical_formula_sum 'Sr6 Sn2 Te8'
_symmetry_space_group_name_H-M 'P 1'
_symmetry_Int_Tables_number 1
_cell_length_a 11.2862
_cell_length_b 9.7581
_cell_length_c 6.6186
_cell_angle_alpha 90.00
_cell_angle_beta 90.00
_cell_angle_gamma 90.00
loop_
_symmetry_equiv_pos_as_xyz
'x,y,z'
loop_
_atom_site_label
_atom_site_fract_x
_atom_site_fract_y
_atom_site_fract_z
Sr1 0.0000 0.1609 0.0001
Sr2 0.2479 0.3323 0.5000
Sr3 0.2521 0.6677 0.0000
Sr4 0.5000 0.8391 0.5001
Sr5 0.7479 0.6677 0.0000
Sr6 0.7521 0.3323 0.5000
Sn1 0.0000 0.8296 0.4784
Sn2 0.5000 0.1704 0.9784
Te1 0.0000 0.1548 0.4992
Te2 0.0000 0.8283 0.0160
Te3 0.2467 0.6701 0.4992
Te4 0.2533 0.3299 0.9992
Te5 0.5000 0.1717 0.5160
Te6 0.5000 0.8452 0.9992
Te7 0.7467 0.3299 0.9992
Te8 0.7533 0.6701 0.4992

---

(4)
# AcPmYLu PBE-GGA relaxed
# SG: F-43m
# energy relative to the elements: 0.4 eV/f.u.
# DOS at the Fermi energy: 1.618 states/eV/atom
# magnetization: 0.000 μB/f.u.
# crystal system: cubic
data_AcPmYLu
_chemical_formula_sum 'Ac1 Pm1 Y1 Lu1'
_symmetry_space_group_name_H-M 'P 1'
_symmetry_Int_Tables_number 1
_cell_length_a 5.8439
_cell_length_b 5.8439
_cell_length_c 5.8439
_cell_angle_alpha 60.00
_cell_angle_beta 60.00
_cell_angle_gamma 60.00
loop_
_symmetry_equiv_pos_as_xyz
'x,y,z'
loop_
_atom_site_label
_atom_site_fract_x
_atom_site_fract_y
_atom_site_fract_z
Ac1 0.0000 0.0000 0.0000
Pm1 0.5000 0.5000 0.5000
Y1 0.7500 0.7500 0.7500
Lu1 0.2500 0.2500 0.2500

---

(5)
# Pm15Er4In PBE-GGA relaxed
# SG: P4/mmm
# energy relative to the elements: -0.8 eV/f.u.
# DOS at the Fermi energy: 1.359 states/eV/atom
# magnetization: 0.000 μB/f.u.
# crystal system: tetragonal
data_Pm15Er4In
_chemical_formula_sum 'Pm15 Er4 In1'
_symmetry_space_group_name_H-M 'P 1'
_symmetry_Int_Tables_number 1
_cell_length_a 5.0698
_cell_length_b 5.0698
_cell_length_c 25.5410
_cell_angle_alpha 90.00
_cell_angle_beta 90.00
_cell_angle_gamma 90.00
loop_
_symmetry_equiv_pos_as_xyz
'x,y,z'
loop_
_atom_site_label
_atom_site_fract_x
_atom_site_fract_y
_atom_site_fract_z
Pm1 0.0000 0.0000 0.0000
Pm2 0.0000 0.0000 0.1973
Pm3 0.0000 0.0000 0.3990
Pm4 0.0000 0.0000 0.6010
Pm5 0.0000 0.0000 0.8027
Pm6 0.0000 0.5000 0.0969
Pm7 0.0000 0.5000 0.2986
Pm8 0.0000 0.5000 0.5000
Pm9 0.0000 0.5000 0.7014
Pm10 0.0000 0.5000 0.9031
Pm11 0.5000 0.0000 0.0969
Pm12 0.5000 0.0000 0.2986
Pm13 0.5000 0.0000 0.5000
Pm14 0.5000 0.0000 0.7014
Pm15 0.5000 0.0000 0.9031
Er1 0.5000 0.5000 0.1981
Er2 0.5000 0.5000 0.3996
Er3 0.5000 0.5000 0.6004
Er4 0.5000 0.5000 0.8019
In1 0.5000 0.5000 0.0000

---

(6)
# ErPu6Te8 PBE-GGA relaxed
# SG: Fm-3m
# DOS at the Fermi energy: 4.550 states/eV/atom
# magnetization: 34.788 μB/f.u.
# crystal system: cubic
# formation energy without anion corrections: -17.1 eV per formula unit
data_ErPu6Te8
_chemical_formula_sum 'Er1 Pu6 Te8'
_symmetry_space_group_name_H-M 'P 1'
_symmetry_Int_Tables_number 1
_cell_length_a 8.8573
_cell_length_b 8.8573
_cell_length_c 8.8573
_cell_angle_alpha 60.00
_cell_angle_beta 60.00
_cell_angle_gamma 60.00
loop_
_symmetry_equiv_pos_as_xyz
'x,y,z'
loop_
_atom_site_label
_atom_site_fract_x
_atom_site_fract_y
_atom_site_fract_z
Er1 0.0000 0.0000 0.0000
Pu1 0.0000 0.0000 0.5000
Pu2 0.0000 0.5000 0.0000
Pu3 0.0000 0.5000 0.5000
Pu4 0.5000 0.0000 0.0000
Pu5 0.5000 0.0000 0.5000
Pu6 0.5000 0.5000 0.0000
Te1 0.2482 0.2482 0.7518
Te2 0.2482 0.7518 0.2482
Te3 0.2482 0.7518 0.7518
Te4 0.2500 0.2500 0.2500
Te5 0.7500 0.7500 0.7500
Te6 0.7518 0.2482 0.2482
Te7 0.7518 0.2482 0.7518
Te8 0.7518 0.7518 0.2482

---

(7)
# ZrCoSb2 PBE-GGA relaxed
# SG: Immm
# DOS at the Fermi energy: 1.184 states/eV/atom
# magnetization: 0.001 μB/f.u.
# crystal system: orthorhombic
# formation energy without anion corrections: -0.2 eV per formula unit
data_ZrCoSb2
_chemical_formula_sum 'Zr1 Co1 Sb2'
_symmetry_space_group_name_H-M 'P 1'
_symmetry_Int_Tables_number 1
_cell_length_a 5.0355
_cell_length_b 5.0355
_cell_length_c 5.0355
_cell_angle_alpha 132.65
_cell_angle_beta 114.94
_cell_angle_gamma 84.31
loop_
_symmetry_equiv_pos_as_xyz
'x,y,z'
loop_
_atom_site_label
_atom_site_fract_x
_atom_site_fract_y
_atom_site_fract_z
Zr1 0.0000 0.0000 0.0000
Co1 0.5000 0.5000 0.0000
Sb1 0.2884 0.7884 0.5000
Sb2 0.7116 0.2116 0.5000

---

(8)
# BeGa2WC PBE-GGA relaxed
# SG: P4/mmm
# energy relative to the elements: 4.6 eV/f.u.
# DOS at the Fermi energy: 0.679 states/eV/atom
# magnetization: 0.000 μB/f.u.
# crystal system: tetragonal
data_BeGa2WC
_chemical_formula_sum 'Be1 Ga2 W1 C1'
_symmetry_space_group_name_H-M 'P 1'
_symmetry_Int_Tables_number 1
_cell_length_a 4.1277
_cell_length_b 4.1277
_cell_length_c 4.1210
_cell_angle_alpha 90.00
_cell_angle_beta 90.00
_cell_angle_gamma 90.00
loop_
_symmetry_equiv_pos_as_xyz
'x,y,z'
loop_
_atom_site_label
_atom_site_fract_x
_atom_site_fract_y
_atom_site_fract_z
Be1 0.0000 0.0000 0.0000
Ga1 0.0000 0.5000 0.5000
Ga2 0.5000 0.0000 0.5000
W1 0.5000 0.5000 0.0000
C1 0.5000 0.5000 0.5000

---

Question: Look up the DOS at the Fermi energy of the fourth one.
Answer: 1.618 states/eV/atom